1.
# Cs3CrPb | Alexandria via LeMat-Bulk | PBE-GGA | optimized geometry
data_Cs3CrPb
_cell_length_a 6.9105
_cell_length_b 6.9105
_cell_length_c 6.9105
_cell_angle_alpha 90.00
_cell_angle_beta 90.00
_cell_angle_gamma 90.00
_symmetry_space_group_name_H-M 'P m -3 m'
_symmetry_Int_Tables_number 221
_symmetry_space_group_name_Hall '-P 4 2 3'
loop_
_atom_site_label
_atom_site_fract_x
_atom_site_fract_y
_atom_site_fract_z
_atom_site_occupancy
Cs1 0.0000 0.0000 0.5000 1
Cr1 0.0000 0.0000 0.0000 1
Pb1 0.5000 0.5000 0.5000 1
# formation enthalpy at 0 K = 1.25 eV per atom

2.
# Dy2ThZn3 | Alexandria via LeMat-Bulk | PBE-GGA | optimized geometry
data_Dy2ThZn3
_cell_length_a 5.1040
_cell_length_b 5.1040
_cell_length_c 6.2371
_cell_angle_alpha 90.00
_cell_angle_beta 90.00
_cell_angle_gamma 120.00
_symmetry_space_group_name_H-M 'P -3 m 1'
_symmetry_Int_Tables_number 164
_symmetry_space_group_name_Hall '-P 3 2"'
loop_
_atom_site_label
_atom_site_fract_x
_atom_site_fract_y
_atom_site_fract_z
_atom_site_occupancy
Dy1 0.3333 0.6667 0.1601 1
Th1 0.0000 0.0000 0.5000 1
Zn1 0.0000 0.0000 0.0000 1
Zn2 0.3333 0.6667 0.6647 1
# formation enthalpy at 0 K = -0.28 eV per atom